1.
Material: AlSnBrCl4
Method: DFT, GGA-PBE
State: relaxed

Lattice parameters (Å, degrees): 7.711 7.711 11.835 58.35 58.35 73.39
Atoms (fractional coordinates):
Al (0.687, 0.687, 0.663)
Al (0.313, 0.313, 0.337)
Cl (0.895, 0.895, 0.440)
Cl (0.105, 0.105, 0.560)
Cl (0.513, 0.146, 0.211)
Cl (0.471, 0.471, 0.359)
Cl (0.854, 0.487, 0.789)
Cl (0.487, 0.854, 0.789)
Cl (0.529, 0.529, 0.641)
Cl (0.146, 0.513, 0.211)
Br (0.873, 0.873, 0.963)
Br (0.127, 0.127, 0.037)
Sn (0.835, 0.835, 0.232)
Sn (0.165, 0.165, 0.768)

Computed properties:
The uncorrected formation energy comes out at -1.26 eV/atom. For the density of states at the Fermi level, the calculation gives 0.00 states/eV/cell. Its space group is No. 12.

=====

2.
Material: Al2SnBr6Cl2
Method: DFT, GGA-PBE
State: relaxed

Lattice parameters (Å, degrees): 6.978 6.978 10.005 90.00 90.00 120.00
Atoms (fractional coordinates):
Cl (0.333, 0.667, 0.529)
Cl (0.667, 0.333, 0.471)
Br (0.643, 0.990, 0.822)
Br (0.652, 0.643, 0.178)
Br (0.010, 0.652, 0.822)
Br (0.990, 0.348, 0.178)
Br (0.348, 0.357, 0.822)
Br (0.357, 0.010, 0.178)
Al (0.667, 0.333, 0.261)
Al (0.333, 0.667, 0.739)
Sn (0.000, 0.000, 0.000)

Computed properties:
The uncorrected formation energy comes out at -1.10 eV/atom. For the density of states at the Fermi level, the calculation gives 0.00 states/eV/cell. Its space group is No. 147.

=====

3.
Material: TaAlBr2Cl
Method: DFT, GGA-PBE
State: relaxed

Lattice parameters (Å, degrees): 4.947 5.599 4.947 90.00 90.00 90.00
Atoms (fractional coordinates):
Al (0.000, 0.500, 0.000)
Br (0.500, 0.000, 0.000)
Br (0.000, 0.000, 0.500)
Ta (0.000, 0.000, 0.000)
Cl (0.500, 0.500, 0.500)

Computed properties:
The uncorrected formation energy comes out at -0.07 eV/atom. For the density of states at the Fermi level, the calculation gives 2.28 states/eV/cell. Its space group is No. 123.

=====

4.
Material: AlWBrCl2
Method: DFT, GGA-PBE
State: relaxed

Lattice parameters (Å, degrees): 6.248 4.714 6.248 90.00 90.00 90.00
Site moments in Bohr magnetons follow the coordinates.
Atoms (fractional coordinates):
Cl (0.500, 0.000, 0.000)  0.07
Cl (0.000, 0.000, 0.500)  0.04
W (0.000, 0.500, 0.000)  2.90
Br (0.000, 0.000, 0.000)  -0.09
Al (0.500, 0.500, 0.500)  0.01

Computed properties:
The uncorrected formation energy comes out at 1.08 eV/atom. For the density of states at the Fermi level, the calculation gives 0.78 states/eV/cell. Its space group is No. 123.

=====

Question: Which value of density of states at the Fermi level does entry 4 give?
Answer: 0.78 states/eV/cell

=====

Copy entry 4 word for word.
Material: AlWBrCl2
Method: DFT, GGA-PBE
State: relaxed

Lattice parameters (Å, degrees): 6.248 4.714 6.248 90.00 90.00 90.00
Site moments in Bohr magnetons follow the coordinates.
Atoms (fractional coordinates):
Cl (0.500, 0.000, 0.000)  0.07
Cl (0.000, 0.000, 0.500)  0.04
W (0.000, 0.500, 0.000)  2.90
Br (0.000, 0.000, 0.000)  -0.09
Al (0.500, 0.500, 0.500)  0.01

Computed properties:
The uncorrected formation energy comes out at 1.08 eV/atom. For the density of states at the Fermi level, the calculation gives 0.78 states/eV/cell. Its space group is No. 123.

=====

Repeat the second record exactly.
Material: Al2SnBr6Cl2
Method: DFT, GGA-PBE
State: relaxed

Lattice parameters (Å, degrees): 6.978 6.978 10.005 90.00 90.00 120.00
Atoms (fractional coordinates):
Cl (0.333, 0.667, 0.529)
Cl (0.667, 0.333, 0.471)
Br (0.643, 0.990, 0.822)
Br (0.652, 0.643, 0.178)
Br (0.010, 0.652, 0.822)
Br (0.990, 0.348, 0.178)
Br (0.348, 0.357, 0.822)
Br (0.357, 0.010, 0.178)
Al (0.667, 0.333, 0.261)
Al (0.333, 0.667, 0.739)
Sn (0.000, 0.000, 0.000)

Computed properties:
The uncorrected formation energy comes out at -1.10 eV/atom. For the density of states at the Fermi level, the calculation gives 0.00 states/eV/cell. Its space group is No. 147.